Record 1
TcAg2Pt: optimized geometry, GGA-PBE.

Lattice parameters (Å, degrees): 9.2617 2.7484 5.1885 90.00 97.53 90.00
Space group Cm (No. 8)
Unique sites:
Tc 0.0000 0.0000 0.0000
Ag 0.2481 0.0000 0.6949
Ag 0.4951 0.0000 0.4796
Pt 0.2423 0.5000 0.1733

E: -5.27 eV per atom
E above lowest polymorph: 54 kJ/mol of formula units
formation energy from the elements: 0.258 eV per atom
calculated density: 12.91 g cm⁻³

Record 2
TcAg2Pt: optimized geometry, GGA-PBE.

Lattice parameters (Å, degrees): 3.8968 3.8968 4.4589 90.00 90.00 90.00
Space group P4/mmm (No. 123)
Unique sites:
Tc 0.0000 0.0000 0.0000
Ag 0.0000 0.5000 0.5000
Pt 0.5000 0.5000 0.0000

E: -5.06 eV per atom
E above lowest polymorph: 135 kJ/mol of formula units
formation energy from the elements: 0.465 eV per atom
calculated density: 12.48 g cm⁻³

Record 3
TcAg2Pt: optimized geometry, GGA-PBE.

Lattice parameters (Å, degrees): 6.4755 6.4755 6.4755 90.00 90.00 90.00
Space group Fm-3m (No. 225)
Unique sites:
Tc 0.0000 0.0000 0.0000
Ag 0.2500 0.2500 0.2500
Pt 0.0000 0.0000 0.5000

E: -4.94 eV per atom
E above lowest polymorph: 182 kJ/mol of formula units
formation energy from the elements: 0.589 eV per atom
calculated density: 12.45 g cm⁻³

Record 4
TcAgPt4: optimized geometry, GGA-PBE.

Lattice parameters (Å, degrees): 7.4465 7.4465 7.4465 90.00 90.00 90.00
Space group F-43m (No. 216)
Unique sites:
Tc 0.0000 0.0000 0.0000
Ag 0.2500 0.2500 0.2500
Pt 0.1249 0.1249 0.6249

E: -5.99 eV per atom
formation energy from the elements: 0.238 eV per atom
calculated density: 15.86 g cm⁻³

Among the records above, which one has the lowest E?
TcAgPt4

The highest calculated density belongs to which entry?
TcAgPt4